# 1
The following is a DFT calculation (PBE) of a relaxed AcTb12In3 crystal.

Geometry as POSCAR:
```
AcTb12In3
1.0
4.9043 0.0000 0.0000
0.0000 4.9043 0.0000
0.0000 0.0000 20.0750
Ac Tb In
1 12 3
direct
0.0000 0.0000 0.0000 Ac
0.5000 0.5000 0.0000 Tb
0.5000 0.5000 0.2592 Tb
0.5000 0.5000 0.5000 Tb
0.5000 0.5000 0.7408 Tb
0.5000 0.0000 0.1367 Tb
0.5000 0.0000 0.3789 Tb
0.5000 0.0000 0.6211 Tb
0.5000 0.0000 0.8633 Tb
0.0000 0.5000 0.1367 Tb
0.0000 0.5000 0.3789 Tb
0.0000 0.5000 0.6211 Tb
0.0000 0.5000 0.8633 Tb
0.0000 0.0000 0.2590 In
0.0000 0.0000 0.5000 In
0.0000 0.0000 0.7410 In
```

**Uncorrected energy**: -70.6 eV/f.u.

---

# 2
The following is a DFT calculation (PBE) of a relaxed TlCoHg3 crystal.

Geometry as POSCAR:
```
TlCoHg3
1.0
-5.0612 0.3934 -0.2575
-0.4581 -3.4996 3.6578
0.1058 3.6654 3.5200
Tl Co Hg
1 1 3
direct
0.5000 0.5000 0.5000 Tl
0.0000 0.0000 0.0000 Co
0.0000 0.5000 0.0000 Hg
0.0000 0.0000 0.5000 Hg
0.5000 0.0000 0.0000 Hg
```

**E above lowest polymorph**: 0.0 kJ/mol of atoms

---

# 3
The following is a DFT calculation (PBE) of a relaxed Nd2Ho7 crystal.

Geometry as POSCAR:
```
Nd2Ho7
1.0
-0.9195 -3.2358 -1.1651
8.4058 -3.5509 3.2276
-7.7500 0.1149 5.7973
Nd Ho
2 7
direct
0.0000 0.6667 0.3333 Nd
0.0000 0.3333 0.6667 Nd
0.5000 0.6460 0.0000 Ho
0.5000 0.0000 0.6460 Ho
0.5000 0.3540 0.3540 Ho
0.0000 0.3034 0.0000 Ho
0.0000 0.0000 0.3034 Ho
0.0000 0.6966 0.6966 Ho
0.5000 0.0000 0.0000 Ho
```

**E above lowest polymorph**: 2.4 kJ/mol of atoms

---

# 4
The following is a DFT calculation (PBE) of a relaxed TlCu crystal.

Geometry as POSCAR:
```
TlCu
1.0
-1.5119 2.7950 -1.6860
-3.6907 -1.5216 0.7871
-0.1454 2.9494 5.0198
Cu Tl
2 2
direct
0.0000 0.0000 0.0413 Cu
0.0000 0.5000 0.2920 Cu
0.5000 0.0000 0.4479 Tl
0.5000 0.5000 0.8854 Tl
```

**Uncorrected energy**: -5.8 eV/f.u.

---

# 5
The following is a DFT calculation (PBE) of a relaxed CuSnMo crystal.

Geometry as POSCAR:
```
CuSnMo
1.0
2.8703 0.0000 0.0000
0.0000 4.4681 0.0000
0.0000 -2.2341 3.8695
Mo Sn Cu
1 1 1
direct
0.3331 0.6667 0.3333 Mo
0.8334 0.3333 0.6667 Sn
0.8335 0.0000 0.0000 Cu
```

**E above lowest polymorph**: 0.0 kJ/mol of atoms

---

# 6
The following is a DFT calculation (PBE) of a relaxed Cs3BaAg2Cl9 crystal.

Geometry as POSCAR:
```
Cs3BaAg2Cl9
1.0
-2.4869 4.7950 -5.4053
-5.0024 -4.1263 4.0426
-0.5645 7.1724 6.6223
Cs Ba Ag Cl
3 1 2 9
direct
0.3333 0.6667 0.7005 Cs
0.0000 0.0000 0.0000 Cs
0.6667 0.3333 0.2995 Cs
0.0000 0.0000 0.5000 Ba
0.3333 0.6667 0.1469 Ag
0.6667 0.3333 0.8531 Ag
0.8254 0.1746 0.6952 Cl
0.8254 0.6508 0.6952 Cl
0.3492 0.1746 0.6952 Cl
0.6508 0.8254 0.3048 Cl
0.1746 0.3492 0.3048 Cl
0.1746 0.8254 0.3048 Cl
0.5000 0.0000 0.0000 Cl
0.0000 0.5000 0.0000 Cl
0.5000 0.5000 0.0000 Cl
```

**ΔE_f (raw)**: -1.434 eV per atom